Entry 1:
{"formula": "MnNb3Si", "functional": "GGA-PBEsol", "state": "optimized geometry", "lattice": [[4.505, 0.000, 0.000], [0.000, 4.505, 0.000], [0.000, 0.000, 4.505]], "species": ["Mn", "Nb", "Nb", "Nb", "Si"], "fractional_positions": [[0.000, 0.000, 0.000], [0.000, 0.000, 0.500], [0.000, 0.500, 0.000], [0.500, 0.000, 0.000], [0.500, 0.500, 0.500]], "e_form_raw_kj_per_mol_atoms": 67.9, "magnetic_moment_mub_per_cell": 0.0, "spacegroup": "Pm-3m, No. 221"}



Entry 2:
{"formula": "Mn3NbSi", "functional": "GGA-PBEsol", "state": "optimized geometry", "lattice": [[4.099, 0.000, 0.000], [0.000, 4.099, 0.000], [0.000, 0.000, 4.099]], "species": ["Mn", "Mn", "Mn", "Nb", "Si"], "fractional_positions": [[0.000, 0.000, 0.500], [0.000, 0.500, 0.000], [0.500, 0.000, 0.000], [0.500, 0.500, 0.500], [0.000, 0.000, 0.000]], "e_form_raw_kj_per_mol_atoms": 63.7, "magnetic_moment_mub_per_cell": 1.9, "spacegroup": "Pm-3m, No. 221"}



Entry 3:
{"formula": "Mn8Nb3Si", "functional": "GGA-PBEsol", "state": "optimized geometry", "lattice": [[4.698, 0.000, 0.000], [-2.349, 4.068, 0.000], [0.000, 0.000, 7.733]], "species": ["Mn", "Mn", "Mn", "Mn", "Mn", "Mn", "Mn", "Mn", "Nb", "Nb", "Nb", "Si"], "fractional_positions": [[0.000, 0.000, 0.000], [0.000, 0.000, 0.492], [0.173, 0.347, 0.251], [0.173, 0.827, 0.251], [0.341, 0.171, 0.757], [0.653, 0.827, 0.251], [0.829, 0.171, 0.757], [0.829, 0.659, 0.757], [0.333, 0.667, 0.585], [0.667, 0.333, 0.060], [0.667, 0.333, 0.439], [0.333, 0.667, 0.945]], "e_form_raw_kj_per_mol_atoms": -16.4, "magnetic_moment_mub_per_cell": 0.5, "spacegroup": "P3m1, No. 156"}



Entry 4:
{"formula": "SrMn2Nb", "functional": "GGA-PBEsol", "state": "optimized geometry", "lattice": [[0.000, 3.364, 3.364], [3.364, 0.000, 3.364], [3.364, 3.364, 0.000]], "species": ["Sr", "Mn", "Mn", "Nb"], "fractional_positions": [[0.000, 0.000, 0.000], [0.250, 0.250, 0.250], [0.750, 0.750, 0.750], [0.500, 0.500, 0.500]], "magnetic_moment_mub_per_cell": 4.7, "delta_e_f_mev_per_atom": 884, "spacegroup": "Fm-3m, No. 225"}



Entry 5:
{"formula": "TaMnNb3", "functional": "GGA-PBEsol", "state": "optimized geometry", "lattice": [[4.528, 0.000, 0.000], [0.000, 4.528, 0.000], [0.000, 0.000, 4.528]], "species": ["Ta", "Mn", "Nb", "Nb", "Nb"], "fractional_positions": [[0.000, 0.000, 0.000], [0.500, 0.500, 0.500], [0.000, 0.500, 0.500], [0.500, 0.000, 0.500], [0.500, 0.500, 0.000]], "magnetic_moment_mub_per_cell": 0.0, "delta_e_f_mev_per_atom": 843, "spacegroup": "Pm-3m, No. 221"}



Entry 6:
{"formula": "Mn2NbTe2", "functional": "GGA-PBEsol", "state": "optimized geometry", "lattice": [[-1.760, 1.760, 7.411], [1.760, -1.760, 7.411], [1.760, 1.760, -7.411]], "species": ["Mn", "Mn", "Nb", "Te", "Te"], "fractional_positions": [[0.250, 0.750, 0.500], [0.750, 0.250, 0.500], [0.000, 0.000, 0.000], [0.389, 0.389, 0.000], [0.611, 0.611, 0.000]], "e_form_raw_kj_per_mol_atoms": 28.7, "magnetic_moment_mub_per_cell": 6.8, "spacegroup": "I4/mmm, No. 139"}



Entry 7:
{"formula": "Mn3NbTl", "functional": "GGA-PBEsol", "state": "optimized geometry", "lattice": [[4.630, 0.000, 0.000], [0.000, 4.630, 0.000], [0.000, 0.000, 4.630]], "species": ["Mn", "Mn", "Mn", "Nb", "Tl"], "fractional_positions": [[0.000, 0.000, 0.500], [0.000, 0.500, 0.000], [0.500, 0.000, 0.000], [0.000, 0.000, 0.000], [0.500, 0.500, 0.500]], "magnetic_moment_mub_per_cell": 7.9, "delta_e_f_mev_per_atom": 1405, "spacegroup": "Pm-3m, No. 221"}



Entry 8:
{"formula": "MnNb2TlZn", "functional": "GGA-PBEsol", "state": "optimized geometry", "lattice": [[4.743, 0.000, 0.000], [0.000, 4.743, 0.000], [0.000, 0.000, 4.709]], "species": ["Mn", "Nb", "Nb", "Tl", "Zn"], "fractional_positions": [[0.000, 0.000, 0.000], [0.000, 0.500, 0.500], [0.500, 0.000, 0.500], [0.500, 0.500, 0.000], [0.500, 0.500, 0.500]], "magnetic_moment_mub_per_cell": 2.8, "delta_e_f_mev_per_atom": 1415, "spacegroup": "P4/mmm, No. 123"}